Entry 1:
NdHg4Au2 | the Alexandria database | PBE | optimized geometry; symmetry = Cmmm
1.0
2.129 -9.220 0.000
2.129 9.220 0.000
0.000 0.000 4.299
Nd Hg Au
1 4 2
Cartesian
0.000 0.000 0.000
2.129 5.852 2.149
2.129 3.304 0.000
2.129 -3.304 0.000
2.129 -5.852 2.149
2.129 1.338 2.149
2.129 -1.338 2.149

Entry 2:
Nd2HgAu6 | the Alexandria database | PBE | optimized geometry; symmetry = C2/m
1.0
5.631 -3.250 0.000
5.631 3.250 0.000
-0.001 0.000 5.565
Nd Hg Au
2 1 6
Cartesian
1.879 0.000 1.823
9.382 0.000 3.743
5.630 0.000 2.783
4.573 1.831 0.970
3.514 0.000 4.579
6.687 1.831 4.596
4.573 -1.831 0.970
7.746 0.000 0.986
6.687 -1.831 4.596

Entry 3:
Nd2Hg2Au3 | the Alexandria database | PBE | optimized geometry; symmetry = I2_13
1.0
-4.495 4.495 4.495
4.495 -4.495 4.495
4.495 4.495 -4.495
Nd Hg Au
4 4 6
Cartesian
4.459 0.035 -0.035
0.035 0.035 0.035
0.035 -0.035 4.459
-0.035 4.459 0.035
6.187 -1.693 1.693
1.693 6.187 -1.693
2.802 2.802 2.802
-1.693 1.693 6.187
6.742 2.238 0.000
2.256 0.000 2.247
2.247 2.256 0.000
0.000 2.247 2.256
2.238 0.000 6.742
0.000 6.742 2.238

Entry 4:
Nd3Hg3Au | the Alexandria database | PBE | optimized geometry; symmetry = Imm2
1.0
-1.848 2.456 10.454
1.848 -2.456 10.454
1.848 2.456 -10.454
Nd Hg Au
3 3 1
Cartesian
0.000 0.000 0.000
0.000 0.000 8.013
0.000 2.456 4.236
1.848 0.000 2.684
0.000 0.000 11.419
0.000 0.000 17.583
1.848 0.000 5.481

Entry 5:
Nd3Hg2Au | the Alexandria database | PBE | optimized geometry; symmetry = P4/mmm
1.0
3.788 0.000 0.000
0.000 3.788 0.000
0.000 0.000 11.450
Nd Hg Au
3 2 1
Cartesian
0.000 0.000 0.000
0.000 0.000 3.936
0.000 0.000 7.514
1.894 1.894 1.911
1.894 1.894 9.538
1.894 1.894 5.725

Entry 6:
NdHgAu3 | the Alexandria database | PBE | optimized geometry; symmetry = C2/m
1.0
10.612 -2.081 0.000
10.612 2.081 0.000
-0.669 0.000 5.345
Nd Hg Au
2 2 6
Cartesian
2.047 0.000 0.184
18.508 0.000 5.161
7.661 0.000 2.192
12.893 0.000 3.153
4.049 0.000 2.446
5.588 0.000 4.960
10.047 0.000 3.986
10.507 0.000 1.359
14.967 0.000 0.385
16.505 0.000 2.899

Entry 7:
Nd2HgAu4 | the Alexandria database | PBE | optimized geometry; symmetry = R-3m
1.0
2.559 1.478 7.265
-2.559 1.478 7.265
0.000 -2.955 7.265
Nd Hg Au
2 1 4
Cartesian
0.000 0.000 5.034
0.000 0.000 16.762
0.000 0.000 10.898
0.000 0.000 1.649
0.000 0.000 8.013
0.000 0.000 13.784
0.000 0.000 20.148

Entry 8:
Nd3Hg4Au2 | the Alexandria database | PBE | optimized geometry; symmetry = C2/m
1.0
5.564 -2.480 0.000
5.564 2.480 0.000
-4.477 0.000 8.082
Nd Hg Au
3 4 2
Cartesian
0.000 0.000 0.000
2.141 0.000 2.752
4.509 0.000 5.329
-1.151 0.000 3.087
-1.094 0.000 7.632
7.744 0.000 0.450
7.802 0.000 4.994
1.139 0.000 5.865
5.512 0.000 2.217

Entry 9:
Nd3Hg3Au2 | the Alexandria database | PBE | optimized geometry; symmetry = P-62m
1.0
7.864 0.000 0.000
-3.932 6.811 0.000
0.000 0.000 3.925
Nd Hg Au
3 3 2
Cartesian
-2.336 4.046 0.000
1.596 2.765 0.000
4.672 0.000 0.000
-0.913 1.581 1.962
1.825 0.000 1.962
3.020 5.230 1.962
0.000 4.540 1.962
3.932 2.270 1.962

Entry 10:
Nd8Hg2Au | the Alexandria database | PBE | optimized geometry; symmetry = C2/m
1.0
9.459 -2.652 0.000
9.459 2.652 0.000
-1.787 0.000 6.846
Nd Hg Au
8 2 1
Cartesian
-0.137 0.000 1.855
2.372 0.000 5.634
5.495 0.000 3.556
7.671 0.000 0.283
9.460 0.000 6.562
11.636 0.000 3.289
14.760 0.000 1.211
17.268 0.000 4.990
3.005 0.000 1.642
14.127 0.000 5.203
8.566 0.000 3.423

Entry 11:
NdHg6Au | the Alexandria database | PBE | optimized geometry; symmetry = R-3m
1.0
3.053 1.763 8.199
-3.053 1.763 8.199
0.000 -3.525 8.199
Nd Hg Au
1 6 1
Cartesian
0.000 0.000 0.000
0.000 -1.725 5.641
-1.494 0.863 5.641
-1.494 -0.863 18.957
1.494 0.863 5.641
1.494 -0.863 18.957
0.000 1.725 18.957
0.000 0.000 12.299

Entry 12:
Nd3HgAu | the Alexandria database | PBE | optimized geometry; symmetry = Cmcm
1.0
2.672 -10.065 0.000
2.672 10.065 0.000
0.000 0.000 5.341
Nd Hg Au
6 2 2
Cartesian
2.672 8.797 4.006
2.672 5.048 4.006
2.672 1.321 4.006
2.672 -1.321 1.335
2.672 -5.048 1.335
2.672 -8.797 1.335
2.672 6.975 1.335
2.672 -6.975 4.006
2.672 3.166 1.335
2.672 -3.166 4.006

no.,energy of formation from the pure elements (eV/f.u.),total energy (eV per atom)
1,-1.6,-2.0240
2,-4.7,-3.7949
3,-2.9,-3.2650
4,-3.5,-3.1407
5,-3.4,-3.5988
6,-1.9,-3.3571
7,-3.8,-3.8235
8,-5.0,-3.0019
9,-4.8,-3.3217
10,-3.1,-4.0993
11,1.1,-1.0958
12,-2.4,-4.0498